No. 1
Here is an optimized crystal structure of Hf2CrOs2 from Alexandria via LeMat-Bulk. Energies are from PBE.

The value obtained for the polymorph energy (0 for the lowest one) is 509 meV per atom. The calculation puts the volume at 17.65 A^3/atom. As for the energy of formation: 348 meV per atom.

It has space group P4/mbm (No. 127), with a = 7.5856 Å, b = 7.5856 Å, c = 3.0673 Å, α = 90.00°, β = 90.00° and γ = 90.00°. The distinct sites, in fractional coordinates, are Hf at (0.1485, 0.3515, 0.0000), Cr at (0.0000, 0.0000, 0.0000) and Os at (0.1541, 0.6541, 0.5000).

No. 2
Here is an optimized crystal structure of HfCrOs from Alexandria via LeMat-Bulk. Energies are from PBE.

The calculation puts the volume at 16.56 A^3/atom. As for the energy of formation: -132 meV per atom.

It has space group C2/m (No. 12), with a = 9.6595 Å, b = 4.0915 Å, c = 6.5896 Å, α = 90.00°, β = 130.25° and γ = 90.00°. The distinct sites, in fractional coordinates, are Hf at (0.0620, 0.0000, 0.3100), Cr at (0.1602, 0.5000, 0.0771) and Os at (0.1708, 0.5000, 0.7239).

No. 3
Here is an optimized crystal structure of Hf2CrOs2 from Alexandria via LeMat-Bulk. Energies are from PBE.

The value obtained for the polymorph energy (0 for the lowest one) is 0 meV per atom. The calculation puts the volume at 17.53 A^3/atom. As for the energy of formation: -161 meV per atom.

It has space group P4/mbm (No. 127), with a = 6.3353 Å, b = 6.3353 Å, c = 4.3683 Å, α = 90.00°, β = 90.00° and γ = 90.00°. The distinct sites, in fractional coordinates, are Hf at (0.1794, 0.3206, 0.0000), Cr at (0.0000, 0.0000, 0.5000) and Os at (0.1416, 0.6416, 0.5000).

No. 4
Here is an optimized crystal structure of Hf2CrOs2 from Alexandria via LeMat-Bulk. Energies are from PBE.

The value obtained for the polymorph energy (0 for the lowest one) is 635 meV per atom. The calculation puts the volume at 18.99 A^3/atom. As for the energy of formation: 475 meV per atom.

It has space group I4/mmm (No. 139), with a = 3.4897 Å, b = 3.4897 Å, c = 15.5906 Å, α = 90.00°, β = 90.00° and γ = 90.00°. The distinct sites, in fractional coordinates, are Hf at (0.0000, 0.0000, 0.1007), Cr at (0.0000, 0.0000, 0.5000) and Os at (0.0000, 0.5000, 0.2500).

No. 5
Here is an optimized crystal structure of Hf5CrOs4 from Alexandria via LeMat-Bulk. Energies are from PBE.

The calculation puts the volume at 17.17 A^3/atom. As for the energy of formation: -548 meV per atom.

It has space group P4/mmm (No. 123), with a = 3.2441 Å, b = 3.2441 Å, c = 16.3145 Å, α = 90.00°, β = 90.00° and γ = 90.00°. The distinct sites, in fractional coordinates, are Hf at (0.0000, 0.0000, 0.0000), Hf at (0.0000, 0.0000, 0.2010), Hf at (0.0000, 0.0000, 0.4011), Cr at (0.5000, 0.5000, 0.5000), Os at (0.5000, 0.5000, 0.1000) and Os at (0.5000, 0.5000, 0.3001).

No. 6
Here is an optimized crystal structure of HfCrOs2 from Alexandria via LeMat-Bulk. Energies are from PBE.

The calculation puts the volume at 16.64 A^3/atom. As for the energy of formation: 413 meV per atom.

It has space group I-42d (No. 122), with a = 7.0883 Å, b = 7.0883 Å, c = 5.2979 Å, α = 90.00°, β = 90.00° and γ = 90.00°. The distinct sites, in fractional coordinates, are Hf at (0.0000, 0.0000, 0.0000), Cr at (0.0000, 0.0000, 0.5000) and Os at (0.1975, 0.2500, 0.6250).

No. 7
Here is an optimized crystal structure of Hf2Cr2Os from Alexandria via LeMat-Bulk. Energies are from PBE.

The calculation puts the volume at 16.63 A^3/atom. As for the energy of formation: -16 meV per atom.

It has space group P4/mbm (No. 127), with a = 6.2172 Å, b = 6.2172 Å, c = 4.3017 Å, α = 90.00°, β = 90.00° and γ = 90.00°. The distinct sites, in fractional coordinates, are Hf at (0.1791, 0.3209, 0.0000), Cr at (0.1263, 0.6263, 0.5000) and Os at (0.0000, 0.0000, 0.5000).

No. 8
Here is an optimized crystal structure of HfCr3Os from Alexandria via LeMat-Bulk. Energies are from PBE.

The value obtained for the polymorph energy (0 for the lowest one) is 0 meV per atom. The calculation puts the volume at 18.59 A^3/atom. As for the energy of formation: 1165 meV per atom.

It has space group Pm-3m (No. 221), with a = 4.5294 Å, b = 4.5294 Å, c = 4.5294 Å, α = 90.00°, β = 90.00° and γ = 90.00°. The distinct sites, in fractional coordinates, are Hf at (0.0000, 0.0000, 0.0000), Cr at (0.0000, 0.5000, 0.5000) and Os at (0.5000, 0.5000, 0.5000).

No. 9
Here is an optimized crystal structure of Hf2Cr3Os from Alexandria via LeMat-Bulk. Energies are from PBE.

The calculation puts the volume at 15.31 A^3/atom. As for the energy of formation: -280 meV per atom.

It has space group R-3m (No. 166, hexagonal axes), with a = 4.9964 Å, b = 4.9964 Å, c = 12.7461 Å, α = 90.00°, β = 90.00° and γ = 120.00°. The distinct sites, in fractional coordinates, are Hf at (0.0000, 0.0000, 0.1243), Cr at (0.0000, 0.5000, 0.0000) and Os at (0.0000, 0.0000, 0.5000).

No. 10
Here is an optimized crystal structure of HfCr2OsRu from Alexandria via LeMat-Bulk. Energies are from PBE.

The calculation puts the volume at 17.83 A^3/atom. As for the energy of formation: 2248 meV per atom.

It has space group P4/mmm (No. 123), with a = 4.4125 Å, b = 4.4125 Å, c = 4.5798 Å, α = 90.00°, β = 90.00° and γ = 90.00°. The distinct sites, in fractional coordinates, are Hf at (0.0000, 0.0000, 0.0000), Cr at (0.0000, 0.5000, 0.0000), Os at (0.5000, 0.5000, 0.5000) and Ru at (0.0000, 0.0000, 0.5000).

No. 11
Here is an optimized crystal structure of HfCrOs2S from Alexandria via LeMat-Bulk. Energies are from PBE.

The value obtained for the polymorph energy (0 for the lowest one) is 647 meV per atom. The calculation puts the volume at 23.35 A^3/atom. Its formation energy (no corrections) is 2.354 eV/atom.

It has space group P4/mmm (No. 123), with a = 4.8026 Å, b = 4.8026 Å, c = 5.0624 Å, α = 90.00°, β = 90.00° and γ = 90.00°. The distinct sites, in fractional coordinates, are Hf at (0.0000, 0.0000, 0.0000), Cr at (0.0000, 0.0000, 0.5000), Os at (0.0000, 0.5000, 0.0000) and S at (0.5000, 0.5000, 0.5000).

No. 12
Here is an optimized crystal structure of HfCrOs2S from Alexandria via LeMat-Bulk. Energies are from PBE.

The value obtained for the polymorph energy (0 for the lowest one) is 0 meV per atom. The calculation puts the volume at 22.94 A^3/atom. Its formation energy (no corrections) is 1.706 eV/atom.

It has space group P4/mmm (No. 123), with a = 4.8981 Å, b = 4.8981 Å, c = 4.7806 Å, α = 90.00°, β = 90.00° and γ = 90.00°. The distinct sites, in fractional coordinates, are Hf at (0.0000, 0.0000, 0.0000), Cr at (0.5000, 0.5000, 0.5000), Os at (0.0000, 0.5000, 0.0000) and S at (0.0000, 0.0000, 0.5000).